Entry 1:
A geometry-optimized Tc2B2Pd structure, computed with PBE.

a = 5.695 Å, b = 5.695 Å, c = 3.390 Å
α = 90.00°, β = 90.00°, γ = 90.00°
Positions (direct):
Tc (0.173, 0.327, 0.000)
Tc (0.327, 0.827, 0.000)
Tc (0.673, 0.173, 0.000)
Tc (0.827, 0.673, 0.000)
B (0.111, 0.611, 0.500)
B (0.389, 0.111, 0.500)
B (0.611, 0.889, 0.500)
B (0.889, 0.389, 0.500)
Pd (0.000, 0.000, 0.500)
Pd (0.500, 0.500, 0.500)

Values from the calculation:
Size of the total moment: 0.0 μB per cell
Electronic total energy: -7.992 eV per atom
E_form: -136 meV per atom



Entry 2:
A geometry-optimized Ba2PaPt2O6 structure, computed with PBE.

a = 6.805 Å, b = 6.805 Å, c = 6.805 Å
α = 55.76°, β = 55.76°, γ = 55.76°
Positions (direct):
Ba (0.219, 0.219, 0.219)
Ba (0.781, 0.781, 0.781)
Pa (0.000, 0.000, 0.000)
Pt (0.412, 0.412, 0.412)
Pt (0.588, 0.588, 0.588)
O (0.210, 0.768, 0.768)
O (0.232, 0.232, 0.790)
O (0.232, 0.790, 0.232)
O (0.768, 0.210, 0.768)
O (0.768, 0.768, 0.210)
O (0.790, 0.232, 0.232)

Values from the calculation:
Size of the total moment: 2.2 μB per cell
Energy relative to the elements, uncorrected: -1887.4 meV/atom
Electronic total energy: -6.903 eV per atom



Entry 3:
A geometry-optimized SrNd2Ag3 structure, computed with PBE.

a = 3.791 Å, b = 3.791 Å, c = 11.590 Å
α = 90.00°, β = 90.00°, γ = 90.00°
Positions (direct):
Sr (0.000, 0.000, 0.000)
Nd (0.000, 0.000, 0.337)
Nd (0.000, 0.000, 0.663)
Ag (0.500, 0.500, 0.187)
Ag (0.500, 0.500, 0.500)
Ag (0.500, 0.500, 0.813)

Values from the calculation:
Size of the total moment: 0.0 μB per cell
Electronic total energy: -3.555 eV per atom
E_form: -260 meV per atom



Entry 4:
A geometry-optimized MgOs3Se structure, computed with PBE.

a = 4.543 Å, b = 4.543 Å, c = 4.543 Å
α = 90.00°, β = 90.00°, γ = 90.00°
Positions (direct):
Mg (0.000, 0.000, 0.000)
Os (0.000, 0.500, 0.500)
Os (0.500, 0.000, 0.500)
Os (0.500, 0.500, 0.000)
Se (0.500, 0.500, 0.500)

Values from the calculation:
Size of the total moment: 0.0 μB per cell
Energy relative to the elements, uncorrected: 1421.5 meV/atom
Electronic total energy: -6.332 eV per atom



Entry 5:
A geometry-optimized Al4Ni3Rh structure, computed with PBE.

a = 2.942 Å, b = 2.942 Å, c = 11.541 Å
α = 90.00°, β = 90.00°, γ = 90.00°
Positions (direct):
Al (0.000, 0.000, 0.122)
Al (0.000, 0.000, 0.366)
Al (0.000, 0.000, 0.634)
Al (0.000, 0.000, 0.878)
Ni (0.500, 0.500, 0.000)
Ni (0.500, 0.500, 0.245)
Ni (0.500, 0.500, 0.755)
Rh (0.500, 0.500, 0.500)

Values from the calculation:
Size of the total moment: 0.0 μB per cell
Electronic total energy: -5.714 eV per atom
E_form: -756 meV per atom



Entry 6:
A geometry-optimized CdRu2Se structure, computed with PBE.

a = 3.007 Å, b = 4.589 Å, c = 5.025 Å
α = 90.00°, β = 90.00°, γ = 90.00°
Positions (direct):
Cd (0.000, 0.000, 0.000)
Ru (0.000, 0.500, 0.662)
Ru (0.500, 0.000, 0.519)
Se (0.500, 0.500, 0.290)

Values from the calculation:
Size of the total moment: 0.0 μB per cell
Energy relative to the elements, uncorrected: 296.0 meV/atom
Electronic total energy: -5.442 eV per atom